The following is a DFT calculation (GGA-PBE) of a relaxed structure of Ce2CdSn4.

```
data_Ce2CdSn4
_cell_length_a 9.222
_cell_length_b 9.320
_cell_length_c 4.619
_cell_angle_alpha 90.00
_cell_angle_beta 90.00
_cell_angle_gamma 90.00
_symmetry_space_group_name_H-M 'C m m m'
_symmetry_Int_Tables_number 65
_symmetry_space_group_name_Hall '-C 2 2'
loop_
_atom_site_label
_atom_site_type_symbol
_atom_site_fract_x
_atom_site_fract_y
_atom_site_fract_z
Ce1 Ce 0.000 0.243 0.000
Cd1 Cd 0.000 0.500 0.500
Sn1 Sn 0.249 0.000 0.000
Sn2 Sn 0.250 0.250 0.500
```

Properties
**V**: 28.4 A^3/atom
**Formation enthalpy at 0 K**: -442 meV per atom
**DFT total energy**: -31.9 eV/f.u.
**Magnetization**: 3.09 μB/cell

***

The following is a DFT calculation (GGA-PBE) of a relaxed structure of Ce6CdSn5.

```
data_Ce6CdSn5
_cell_length_a 4.916
_cell_length_b 9.049
_cell_length_c 14.746
_cell_angle_alpha 90.00
_cell_angle_beta 90.00
_cell_angle_gamma 90.00
_symmetry_space_group_name_H-M 'I m m m'
_symmetry_Int_Tables_number 71
_symmetry_space_group_name_Hall '-I 2 2'
loop_
_atom_site_label
_atom_site_type_symbol
_atom_site_fract_x
_atom_site_fract_y
_atom_site_fract_z
Ce1 Ce 0.000 0.248 0.000
Ce2 Ce 0.000 0.251 0.332
Cd1 Cd 0.000 0.000 0.500
Sn1 Sn 0.000 0.000 0.167
Sn2 Sn 0.000 0.500 0.161
Sn3 Sn 0.000 0.500 0.500
```

Properties
**V**: 27.3 A^3/atom
**Formation enthalpy at 0 K**: -525 meV per atom
**DFT total energy**: -62.8 eV/f.u.
**Magnetization**: 10.76 μB/cell

***

The following is a DFT calculation (GGA-PBE) of a relaxed structure of CeCd2Sn.

```
data_CeCd2Sn
_cell_length_a 3.1868
_cell_length_b 3.1868
_cell_length_c 36.3249
_cell_angle_alpha 90.00
_cell_angle_beta 90.00
_cell_angle_gamma 120.00
_symmetry_space_group_name_H-M 'R -3 m'
_symmetry_Int_Tables_number 166
_symmetry_space_group_name_Hall '-R 3 2"'
loop_
_atom_site_label
_atom_site_type_symbol
_atom_site_fract_x
_atom_site_fract_y
_atom_site_fract_z
Ce1 Ce 0.0000 0.0000 0.0000
Cd1 Cd 0.0000 0.0000 0.0889
Sn1 Sn 0.0000 0.0000 0.5000
```

Properties
**V**: 26.6 A^3/atom
**Formation enthalpy at 0 K**: 188 meV per atom
**E above lowest polymorph**: 0.5545 eV per atom
**DFT total energy**: -11.0 eV/f.u.
**Magnetization**: 2.45 μB/cell

***

The following is a DFT calculation (GGA-PBE) of a relaxed structure of Ce3CdSn3.

```
data_Ce3CdSn3
_cell_length_a 11.853
_cell_length_b 4.688
_cell_length_c 15.253
_cell_angle_alpha 90.00
_cell_angle_beta 108.35
_cell_angle_gamma 90.00
_symmetry_space_group_name_H-M 'C 1 2/m 1'
_symmetry_Int_Tables_number 12
_symmetry_space_group_name_Hall '-C 2y'
loop_
_atom_site_label
_atom_site_type_symbol
_atom_site_fract_x
_atom_site_fract_y
_atom_site_fract_z
Ce1 Ce 0.019 0.000 0.379
Ce2 Ce 0.101 0.000 0.922
Ce3 Ce 0.234 0.000 0.225
Cd1 Cd 0.226 0.500 0.387
Sn1 Sn 0.010 0.500 0.227
Sn2 Sn 0.124 0.500 0.075
Sn3 Sn 0.134 0.500 0.549
```

Properties
**V**: 28.7 A^3/atom
**Formation enthalpy at 0 K**: -506 meV per atom
**DFT total energy**: -34.3 eV/f.u.
**Magnetization**: 13.23 μB/cell

***

The following is a DFT calculation (GGA-PBE) of a relaxed structure of Ce2Cd3Sn.

```
data_Ce2Cd3Sn
_cell_length_a 7.067
_cell_length_b 10.092
_cell_length_c 17.475
_cell_angle_alpha 90.00
_cell_angle_beta 90.00
_cell_angle_gamma 90.00
_symmetry_space_group_name_H-M 'F m m m'
_symmetry_Int_Tables_number 69
_symmetry_space_group_name_Hall '-F 2 2'
loop_
_atom_site_label
_atom_site_type_symbol
_atom_site_fract_x
_atom_site_fract_y
_atom_site_fract_z
Ce1 Ce 0.246 0.000 0.000
Ce2 Ce 0.250 0.250 0.250
Cd1 Cd 0.000 0.000 0.165
Cd2 Cd 0.000 0.248 0.082
Sn1 Sn 0.000 0.000 0.334
```

Properties
**V**: 26.0 A^3/atom
**Formation enthalpy at 0 K**: -343 meV per atom
**E above lowest polymorph**: 0.0000 eV per atom
**DFT total energy**: -20.7 eV/f.u.
**Magnetization**: 22.40 μB/cell

***

The following is a DFT calculation (GGA-PBE) of a relaxed structure of Ce2Cd3Sn3.

```
data_Ce2Cd3Sn3
_cell_length_a 4.679
_cell_length_b 4.844
_cell_length_c 9.024
_cell_angle_alpha 90.00
_cell_angle_beta 90.00
_cell_angle_gamma 90.00
_symmetry_space_group_name_H-M 'P m m m'
_symmetry_Int_Tables_number 47
_symmetry_space_group_name_Hall '-P 2 2'
loop_
_atom_site_label
_atom_site_type_symbol
_atom_site_fract_x
_atom_site_fract_y
_atom_site_fract_z
Ce1 Ce 0.000 0.000 0.244
Cd1 Cd 0.000 0.500 0.500
Cd2 Cd 0.500 0.500 0.257
Sn1 Sn 0.000 0.500 0.000
Sn2 Sn 0.500 0.000 0.000
Sn3 Sn 0.500 0.000 0.500
```

Properties
**V**: 25.6 A^3/atom
**Formation enthalpy at 0 K**: -433 meV per atom
**DFT total energy**: -30.1 eV/f.u.
**Magnetization**: 1.59 μB/cell

***

The following is a DFT calculation (GGA-PBE) of a relaxed structure of CeCd2Sn.

```
data_CeCd2Sn
_cell_length_a 7.414
_cell_length_b 7.414
_cell_length_c 7.414
_cell_angle_alpha 90.00
_cell_angle_beta 90.00
_cell_angle_gamma 90.00
_symmetry_space_group_name_H-M 'F m -3 m'
_symmetry_Int_Tables_number 225
_symmetry_space_group_name_Hall '-F 4 2 3'
loop_
_atom_site_label
_atom_site_type_symbol
_atom_site_fract_x
_atom_site_fract_y
_atom_site_fract_z
Ce1 Ce 0.000 0.000 0.000
Cd1 Cd 0.250 0.250 0.250
Sn1 Sn 0.000 0.000 0.500
```

Properties
**V**: 25.5 A^3/atom
**Formation enthalpy at 0 K**: -196 meV per atom
**E above lowest polymorph**: 0.1705 eV per atom
**DFT total energy**: -12.5 eV/f.u.
**Magnetization**: 3.44 μB/cell

***

The following is a DFT calculation (GGA-PBE) of a relaxed structure of Ce5CdSn6.

```
data_Ce5CdSn6
_cell_length_a 4.802
_cell_length_b 9.192
_cell_length_c 14.758
_cell_angle_alpha 90.00
_cell_angle_beta 90.00
_cell_angle_gamma 90.00
_symmetry_space_group_name_H-M 'I m m m'
_symmetry_Int_Tables_number 71
_symmetry_space_group_name_Hall '-I 2 2'
loop_
_atom_site_label
_atom_site_type_symbol
_atom_site_fract_x
_atom_site_fract_y
_atom_site_fract_z
Ce1 Ce 0.000 0.000 0.000
Ce2 Ce 0.000 0.000 0.349
Ce3 Ce 0.000 0.500 0.335
Cd1 Cd 0.000 0.500 0.000
Sn1 Sn 0.000 0.249 0.170
Sn2 Sn 0.000 0.254 0.500
```

Properties
**V**: 27.1 A^3/atom
**Formation enthalpy at 0 K**: -535 meV per atom
**DFT total energy**: -61.0 eV/f.u.
**Magnetization**: 8.31 μB/cell

***

The following is a DFT calculation (GGA-PBE) of a relaxed structure of CeTlCdSn.

```
data_CeTlCdSn
_cell_length_a 7.536
_cell_length_b 7.536
_cell_length_c 7.536
_cell_angle_alpha 90.00
_cell_angle_beta 90.00
_cell_angle_gamma 90.00
_symmetry_space_group_name_H-M 'F -4 3 m'
_symmetry_Int_Tables_number 216
_symmetry_space_group_name_Hall 'F -4 2 3'
loop_
_atom_site_label
_atom_site_type_symbol
_atom_site_fract_x
_atom_site_fract_y
_atom_site_fract_z
Ce1 Ce 0.000 0.000 0.000
Tl1 Tl 0.250 0.250 0.250
Cd1 Cd 0.000 0.000 0.500
Sn1 Sn 0.250 0.250 0.750
```

Properties
**V**: 26.7 A^3/atom
**Formation enthalpy at 0 K**: -212 meV per atom
**E above lowest polymorph**: 0.1531 eV per atom
**DFT total energy**: -14.1 eV/f.u.
**Magnetization**: 3.08 μB/cell

***

The following is a DFT calculation (GGA-PBE) of a relaxed structure of CeTlCdSn.

```
data_CeTlCdSn
_cell_length_a 4.547
_cell_length_b 4.701
_cell_length_c 4.950
_cell_angle_alpha 90.00
_cell_angle_beta 90.00
_cell_angle_gamma 90.00
_symmetry_space_group_name_H-M 'P m m m'
_symmetry_Int_Tables_number 47
_symmetry_space_group_name_Hall '-P 2 2'
loop_
_atom_site_label
_atom_site_type_symbol
_atom_site_fract_x
_atom_site_fract_y
_atom_site_fract_z
Ce1 Ce 0.000 0.000 0.000
Tl1 Tl 0.500 0.000 0.500
Cd1 Cd 0.000 0.500 0.500
Sn1 Sn 0.500 0.500 0.000
```

Properties
**V**: 26.5 A^3/atom
**Formation enthalpy at 0 K**: -365 meV per atom
**E above lowest polymorph**: 0.0000 eV per atom
**DFT total energy**: -14.7 eV/f.u.
**Magnetization**: 0.87 μB/cell

***

The following is a DFT calculation (GGA-PBE) of a relaxed structure of Ce2YCd2Sn2.

```
data_Ce2YCd2Sn2
_cell_length_a 4.7832
_cell_length_b 4.7832
_cell_length_c 27.7991
_cell_angle_alpha 90.00
_cell_angle_beta 90.00
_cell_angle_gamma 120.00
_symmetry_space_group_name_H-M 'R -3 m'
_symmetry_Int_Tables_number 166
_symmetry_space_group_name_Hall '-R 3 2"'
loop_
_atom_site_label
_atom_site_type_symbol
_atom_site_fract_x
_atom_site_fract_y
_atom_site_fract_z
Ce1 Ce 0.0000 0.0000 0.1456
Y1 Y 0.0000 0.0000 0.0000
Cd1 Cd 0.0000 0.0000 0.4214
Sn1 Sn 0.0000 0.0000 0.2725
```

Properties
**V**: 26.2 A^3/atom
**Formation enthalpy at 0 K**: -261 meV per atom
**DFT total energy**: -30.0 eV/f.u.
**Magnetization**: 8.70 μB/cell

***

The following is a DFT calculation (GGA-PBE) of a relaxed structure of CeZnCdSn.

```
data_CeZnCdSn
_cell_length_a 7.234
_cell_length_b 7.234
_cell_length_c 7.234
_cell_angle_alpha 90.00
_cell_angle_beta 90.00
_cell_angle_gamma 90.00
_symmetry_space_group_name_H-M 'F -4 3 m'
_symmetry_Int_Tables_number 216
_symmetry_space_group_name_Hall 'F -4 2 3'
loop_
_atom_site_label
_atom_site_type_symbol
_atom_site_fract_x
_atom_site_fract_y
_atom_site_fract_z
Ce1 Ce 0.000 0.000 0.000
Zn1 Zn 0.250 0.250 0.250
Cd1 Cd 0.000 0.000 0.500
Sn1 Sn 0.250 0.250 0.750
```

Properties
**V**: 23.7 A^3/atom
**Formation enthalpy at 0 K**: -238 meV per atom
**DFT total energy**: -13.1 eV/f.u.
**Magnetization**: 1.32 μB/cell

***

The following is a DFT calculation (GGA-PBE) of a relaxed structure of SrCeCd4.

```
data_SrCeCd4
_cell_length_a 4.456
_cell_length_b 4.456
_cell_length_c 18.082
_cell_angle_alpha 90.00
_cell_angle_beta 90.00
_cell_angle_gamma 90.00
_symmetry_space_group_name_H-M 'I -4 m 2'
_symmetry_Int_Tables_number 119
_symmetry_space_group_name_Hall 'I -4 -2'
loop_
_atom_site_label
_atom_site_type_symbol
_atom_site_fract_x
_atom_site_fract_y
_atom_site_fract_z
Sr1 Sr 0.000 0.000 0.000
Ce1 Ce 0.000 0.500 0.250
Cd1 Cd 0.000 0.000 0.420
Cd2 Cd 0.000 0.500 0.672
```

Properties
**V**: 29.9 A^3/atom
**Formation enthalpy at 0 K**: -154 meV per atom
**E above lowest polymorph**: 0.0547 eV per atom
**DFT total energy**: -12.2 eV/f.u.
**Magnetization**: 2.98 μB/cell